LaBe2Ir | PBE | relaxed

```
LaBe2Ir
1.0
-3.279 0.693 1.870
-0.783 -4.419 0.265
2.193 -0.163 3.906
Ir Be La
1 2 1
direct
0.000 0.510 0.250
0.500 0.256 0.250
0.000 0.008 0.249
0.500 0.725 0.750
```

Results
* DOS(E_F): 0.735 states/eV per atom
* volume: 77 Å³/f.u.
* DFT formation energy: -0.217 eV/atom
* energy above the lowest structure with this stoichiometry: 0.2329 eV per atom
* E: -5.5270 eV/atom

La2BeIr | PBE | relaxed

```
La2BeIr
1.0
-3.380 -1.447 1.986
-2.625 -2.599 -1.954
1.895 -7.059 2.426
Ir Be La
1 1 2
direct
0.250 0.250 0.250
0.750 0.750 0.750
0.990 0.990 0.029
0.510 0.510 0.471
```

Results
* DOS(E_F): 0.928 states/eV per atom
* volume: 111 Å³/f.u.
* DFT formation energy: -0.085 eV/atom
* E: -5.6955 eV/atom

La2BeIr | PBE | relaxed

```
La2BeIr
1.0
5.076 -0.049 0.073
3.444 3.729 0.073
2.272 0.981 4.762
La Ir Be
2 1 1
direct
0.784 0.784 0.698
0.967 0.967 0.050
0.173 0.173 0.361
0.576 0.576 0.391
```

Results
* DOS(E_F): 0.798 states/eV per atom
* volume: 90 Å³/f.u.
* DFT formation energy: -0.278 eV/atom
* E: -5.8886 eV/atom

La2BeIr | PBE | relaxed

```
La2BeIr
1.0
-0.254 2.255 2.314
-3.226 -0.059 -0.297
-0.440 -6.233 6.026
Ir Be La
1 1 2
direct
0.500 0.500 0.673
0.000 0.000 0.578
0.000 0.000 0.919
0.500 0.500 0.330
```

Results
* DOS(E_F): 1.015 states/eV per atom
* volume: 91 Å³/f.u.
* DFT formation energy: -0.163 eV/atom
* E: -5.7733 eV/atom